The following is a DFT calculation (PBE) of a relaxed ReNi8 crystal.

Properties
- energy of formation from the pure elements (meV/atom) = -14
- raw total energy (eV per atom) = -6.5358
- M_tot (μB per formula unit) = 0.0

The structure in extended XYZ format:
```
9
Lattice="-3.7595 3.7595 1.7926 3.7595 -3.7595 1.7926 3.7595 3.7595 -1.7926" Properties=species:S:1:pos:R:3 pbc="T T T"
Re 0.0000 0.0000 0.0000
Ni 2.5002 0.0000 0.0000
Ni 5.0188 0.0000 0.0000
Ni 0.0000 2.5002 0.0000
Ni 2.5166 2.5166 0.0000
Ni 1.2429 -1.2429 1.7926
Ni -1.2429 1.2429 1.7926
Ni 1.2429 1.2429 1.7926
Ni 0.0000 5.0188 0.0000
```